Computed, not measured: a relaxed structure of BaSr6Pd4 at the PBE level of DFT.

Calculated values
**Space group**: Cm, No. 8
**Energy of formation**: -0.3073 eV/atom
**Mass density**: 4.78 Mg/m³
**Final energy**: -36.17 eV/f.u.

Cell lengths 6.6487, 6.6487, 9.7573 Å; angles 109.87, 109.87, 89.99 degrees
Closest atoms and distances in Å follow each position.
Positions (direct):
1 Ba 0.0000 0.0000 0.0000  4 Pd 3.13, 4 Sr 3.32
2 Sr 0.0012 0.4998 0.9998  4 Pd 3.28-3.29, 2 Ba 3.32
3 Sr 0.0903 0.0903 0.6352  5 Pd 3.16-3.44
4 Sr 0.4549 0.9091 0.3638  5 Pd 3.16-3.45
5 Sr 0.4998 0.0012 0.9998  4 Pd 3.28-3.29, 2 Ba 3.32
6 Sr 0.5451 0.5451 0.6363  5 Pd 3.16-3.45
7 Sr 0.9091 0.4549 0.3638  5 Pd 3.16-3.45
8 Pd 0.0946 0.6387 0.7329  1 Ba 3.13, 7 Sr 3.16-3.45
9 Pd 0.3615 0.3615 0.2670  1 Ba 3.13, 7 Sr 3.16-3.44
10 Pd 0.6387 0.0946 0.7329  1 Ba 3.13, 7 Sr 3.16-3.45
11 Pd 0.9047 0.9047 0.2664  1 Ba 3.13, 7 Sr 3.16-3.45